Density functional theory data (PBE) for LaCuS3 after structural relaxation.

Output
* calculated volume: 33.02 Å³ per atom
* energy: -20.75 eV/cell

Structure (CIF):
```
data_LaCuS3
_cell_length_a 5.486
_cell_length_b 5.486
_cell_length_c 5.486
_cell_angle_alpha 90.00
_cell_angle_beta 90.00
_cell_angle_gamma 90.00
_symmetry_space_group_name_H-M 'P m -3 m'
_symmetry_Int_Tables_number 221
_symmetry_space_group_name_Hall '-P 4 2 3'
loop_
_atom_site_label
_atom_site_fract_x
_atom_site_fract_y
_atom_site_fract_z
La1 0.000 0.000 0.000
Cu1 0.500 0.500 0.500
S1 0.000 0.000 0.500
```


Density functional theory data (PBE) for YTlI2Br after structural relaxation.

Output
* calculated volume: 41.12 Å³ per atom
* energy: -18.41 eV/cell

Structure (CIF):
```
data_YTlI2Br
_cell_length_a 6.075
_cell_length_b 6.075
_cell_length_c 5.572
_cell_angle_alpha 90.00
_cell_angle_beta 90.00
_cell_angle_gamma 90.00
_symmetry_space_group_name_H-M 'P 4/m m m'
_symmetry_Int_Tables_number 123
_symmetry_space_group_name_Hall '-P 4 2'
loop_
_atom_site_label
_atom_site_fract_x
_atom_site_fract_y
_atom_site_fract_z
Y1 0.000 0.000 0.000
Tl1 0.500 0.500 0.500
I1 0.000 0.500 0.000
Br1 0.000 0.000 0.500
```


Density functional theory data (PBE) for CeNdTh2 after structural relaxation.

Output
* calculated volume: 31.58 Å³ per atom
* E_form: 8 kJ per mole of atoms
* energy: -25.20 eV/cell

Structure (CIF):
```
data_CeNdTh2
_cell_length_a 5.037
_cell_length_b 5.037
_cell_length_c 4.980
_cell_angle_alpha 90.00
_cell_angle_beta 90.00
_cell_angle_gamma 90.00
_symmetry_space_group_name_H-M 'P 4/m m m'
_symmetry_Int_Tables_number 123
_symmetry_space_group_name_Hall '-P 4 2'
loop_
_atom_site_label
_atom_site_fract_x
_atom_site_fract_y
_atom_site_fract_z
Ce1 0.000 0.000 0.000
Nd1 0.500 0.500 0.000
Th1 0.000 0.500 0.500
```


Density functional theory data (PBE) for SiNi2Pb after structural relaxation.

Output
* calculated volume: 17.89 Å³ per atom
* energy: -42.39 eV/cell

Structure (CIF):
```
data_SiNi2Pb
_cell_length_a 6.601
_cell_length_b 3.811
_cell_length_c 5.689
_cell_angle_alpha 90.00
_cell_angle_beta 90.21
_cell_angle_gamma 90.00
_symmetry_space_group_name_H-M 'C 1 m 1'
_symmetry_Int_Tables_number 8
_symmetry_space_group_name_Hall 'C -2y'
loop_
_atom_site_label
_atom_site_fract_x
_atom_site_fract_y
_atom_site_fract_z
Si1 0.000 0.000 0.000
Ni1 0.166 0.500 0.912
Ni2 0.334 0.000 0.135
Pb1 0.169 0.500 0.448
```


Density functional theory data (PBE) for Ho2S2Cl after structural relaxation.

Output
* calculated volume: 24.88 Å³ per atom
* energy: -118.24 eV/cell

Structure (CIF):
```
data_Ho2S2Cl
_cell_length_a 12.348
_cell_length_b 5.407
_cell_length_c 7.920
_cell_angle_alpha 90.00
_cell_angle_beta 109.78
_cell_angle_gamma 90.00
_symmetry_space_group_name_H-M 'C 1 2/m 1'
_symmetry_Int_Tables_number 12
_symmetry_space_group_name_Hall '-C 2y'
loop_
_atom_site_label
_atom_site_fract_x
_atom_site_fract_y
_atom_site_fract_z
Ho1 0.008 0.000 0.244
Ho2 0.164 0.500 0.074
S1 0.007 0.500 0.247
S2 0.167 0.000 0.082
Cl1 0.157 0.000 0.593
```


Density functional theory data (PBE) for Y7Er3Sc after structural relaxation.

Output
* calculated volume: 31.77 Å³ per atom
* E_form: 14 kJ per mole of atoms
* energy: -254.75 eV/cell

Structure (CIF):
```
data_Y7Er3Sc
_cell_length_a 6.899
_cell_length_b 18.251
_cell_length_c 11.104
_cell_angle_alpha 90.00
_cell_angle_beta 90.25
_cell_angle_gamma 90.00
_symmetry_space_group_name_H-M 'C 1 2/m 1'
_symmetry_Int_Tables_number 12
_symmetry_space_group_name_Hall '-C 2y'
loop_
_atom_site_label
_atom_site_fract_x
_atom_site_fract_y
_atom_site_fract_z
Y1 0.248 0.000 0.250
Y2 0.248 0.340 0.531
Y3 0.249 0.160 0.031
Y4 0.249 0.413 0.250
Er1 0.000 0.000 0.500
Er2 0.000 0.250 0.250
Er3 0.000 0.500 0.000
Sc1 0.000 0.000 0.000
Sc2 0.000 0.500 0.500
```


Density functional theory data (PBE) for Li2Co4Sn after structural relaxation.

Output
* calculated volume: 19.59 Å³ per atom
* E_form: 117 kJ per mole of atoms
* energy: -55.55 eV/cell

Structure (CIF):
```
data_Li2Co4Sn
_cell_length_a 4.649
_cell_length_b 4.649
_cell_length_c 12.691
_cell_angle_alpha 90.00
_cell_angle_beta 90.00
_cell_angle_gamma 90.00
_symmetry_space_group_name_H-M 'I 4/m m m'
_symmetry_Int_Tables_number 139
_symmetry_space_group_name_Hall '-I 4 2'
loop_
_atom_site_label
_atom_site_fract_x
_atom_site_fract_y
_atom_site_fract_z
Li1 0.000 0.000 0.106
Co1 0.000 0.000 0.302
Co2 0.000 0.500 0.000
Sn1 0.000 0.000 0.500
```


Density functional theory data (PBE) for YCSe2N after structural relaxation.

Output
* calculated volume: 27.64 Å³ per atom
* energy: -22.93 eV/cell

Structure (CIF):
```
data_YCSe2N
_cell_length_a 5.536
_cell_length_b 5.536
_cell_length_c 4.509
_cell_angle_alpha 90.00
_cell_angle_beta 90.00
_cell_angle_gamma 90.00
_symmetry_space_group_name_H-M 'P 4/m m m'
_symmetry_Int_Tables_number 123
_symmetry_space_group_name_Hall '-P 4 2'
loop_
_atom_site_label
_atom_site_fract_x
_atom_site_fract_y
_atom_site_fract_z
Y1 0.000 0.000 0.000
C1 0.500 0.500 0.500
Se1 0.000 0.500 0.000
N1 0.000 0.000 0.500
```


Density functional theory data (PBE) for TlAsBr2F after structural relaxation.

Output
* calculated volume: 34.91 Å³ per atom
* energy: -10.90 eV/cell

Structure (CIF):
```
data_TlAsBr2F
_cell_length_a 5.538
_cell_length_b 5.538
_cell_length_c 5.692
_cell_angle_alpha 90.00
_cell_angle_beta 90.00
_cell_angle_gamma 90.00
_symmetry_space_group_name_H-M 'P 4/m m m'
_symmetry_Int_Tables_number 123
_symmetry_space_group_name_Hall '-P 4 2'
loop_
_atom_site_label
_atom_site_fract_x
_atom_site_fract_y
_atom_site_fract_z
Tl1 0.000 0.000 0.000
As1 0.000 0.000 0.500
Br1 0.000 0.500 0.000
F1 0.500 0.500 0.500
```


Density functional theory data (PBE) for BaGa2AsCl after structural relaxation.

Output
* calculated volume: 32.53 Å³ per atom
* energy: -16.58 eV/cell

Structure (CIF):
```
data_BaGa2AsCl
_cell_length_a 4.819
_cell_length_b 4.819
_cell_length_c 7.004
_cell_angle_alpha 90.00
_cell_angle_beta 90.00
_cell_angle_gamma 90.00
_symmetry_space_group_name_H-M 'P 4/m m m'
_symmetry_Int_Tables_number 123
_symmetry_space_group_name_Hall '-P 4 2'
loop_
_atom_site_label
_atom_site_fract_x
_atom_site_fract_y
_atom_site_fract_z
Ba1 0.000 0.000 0.000
Ga1 0.000 0.500 0.500
As1 0.500 0.500 0.500
Cl1 0.500 0.500 0.000
```


Density functional theory data (PBE) for BiSe after structural relaxation.

Output
* calculated volume: 39.83 Å³ per atom
* energy: -45.41 eV/cell

Structure (CIF):
```
data_BiSe
_cell_length_a 4.147
_cell_length_b 17.704
_cell_length_c 6.511
_cell_angle_alpha 90.00
_cell_angle_beta 90.00
_cell_angle_gamma 90.00
_symmetry_space_group_name_H-M 'A m m 2'
_symmetry_Int_Tables_number 38
_symmetry_space_group_name_Hall 'A 2 -2'
loop_
_atom_site_label
_atom_site_fract_x
_atom_site_fract_y
_atom_site_fract_z
Bi1 0.000 0.000 0.000
Bi2 0.500 0.234 0.683
Se1 0.000 0.171 0.001
Se2 0.500 0.000 0.732
```


Density functional theory data (PBE) for ThAg2F6 after structural relaxation.

Output
* calculated volume: 16.51 Å³ per atom
* energy: -97.84 eV/cell

Structure (CIF):
```
data_ThAg2F6
_cell_length_a 4.104
_cell_length_b 5.842
_cell_length_c 12.395
_cell_angle_alpha 90.00
_cell_angle_beta 90.00
_cell_angle_gamma 90.00
_symmetry_space_group_name_H-M 'I m m m'
_symmetry_Int_Tables_number 71
_symmetry_space_group_name_Hall '-I 2 2'
loop_
_atom_site_label
_atom_site_fract_x
_atom_site_fract_y
_atom_site_fract_z
Th1 0.000 0.000 0.000
Ag1 0.000 0.000 0.325
F1 0.000 0.240 0.147
F2 0.000 0.284 0.500
```


Density functional theory data (PBE) for CaCu2GeSe4 after structural relaxation.

Output
* calculated volume: 24.76 Å³ per atom
* energy: -135.07 eV/cell

Structure (CIF):
```
data_CaCu2GeSe4
_cell_length_a 8.706
_cell_length_b 8.713
_cell_length_c 10.444
_cell_angle_alpha 90.00
_cell_angle_beta 90.00
_cell_angle_gamma 90.00
_symmetry_space_group_name_H-M 'F m m 2'
_symmetry_Int_Tables_number 42
_symmetry_space_group_name_Hall 'F 2 -2'
loop_
_atom_site_label
_atom_site_fract_x
_atom_site_fract_y
_atom_site_fract_z
Ca1 0.000 0.000 0.000
Cu1 0.250 0.250 0.249
Ge1 0.000 0.000 0.499
Se1 0.000 0.219 0.642
Se2 0.219 0.000 0.357
```


Density functional theory data (PBE) for Ca2BeSi after structural relaxation.

Output
* calculated volume: 21.41 Å³ per atom
* energy: -45.81 eV/cell

Structure (CIF):
```
data_Ca2BeSi
_cell_length_a 6.997
_cell_length_b 6.997
_cell_length_c 6.997
_cell_angle_alpha 90.00
_cell_angle_beta 90.00
_cell_angle_gamma 90.00
_symmetry_space_group_name_H-M 'F -4 3 m'
_symmetry_Int_Tables_number 216
_symmetry_space_group_name_Hall 'F -4 2 3'
loop_
_atom_site_label
_atom_site_fract_x
_atom_site_fract_y
_atom_site_fract_z
Ca1 0.000 0.000 0.000
Ca2 0.250 0.250 0.250
Be1 0.250 0.250 0.750
Si1 0.000 0.000 0.500
```


Density functional theory data (PBE) for Li2FeW after structural relaxation.

Output
* calculated volume: 14.61 Å³ per atom
* E_form: 40 kJ per mole of atoms
* energy: -47.20 eV/cell

Structure (CIF):
```
data_Li2FeW
_cell_length_a 2.851
_cell_length_b 4.314
_cell_length_c 9.501
_cell_angle_alpha 90.00
_cell_angle_beta 90.00
_cell_angle_gamma 90.00
_symmetry_space_group_name_H-M 'C m m m'
_symmetry_Int_Tables_number 65
_symmetry_space_group_name_Hall '-C 2 2'
loop_
_atom_site_label
_atom_site_fract_x
_atom_site_fract_y
_atom_site_fract_z
Li1 0.000 0.000 0.240
Fe1 0.000 0.500 0.000
W1 0.000 0.500 0.500
```


Density functional theory data (PBE) for SmYO after structural relaxation.

Output
* calculated volume: 21.69 Å³ per atom
* energy: -21.44 eV/cell

Structure (CIF):
```
data_SmYO
_cell_length_a 3.5688
_cell_length_b 3.5688
_cell_length_c 5.8997
_cell_angle_alpha 90.00
_cell_angle_beta 90.00
_cell_angle_gamma 120.00
_symmetry_space_group_name_H-M 'P 3 m 1'
_symmetry_Int_Tables_number 156
_symmetry_space_group_name_Hall 'P 3 -2"'
loop_
_atom_site_label
_atom_site_fract_x
_atom_site_fract_y
_atom_site_fract_z
Sm1 0.0000 0.0000 0.0000
Y1 0.3333 0.6667 0.4656
O1 0.6667 0.3333 0.2507
```


Density functional theory data (PBE) for MgReOsW after structural relaxation.

Output
* calculated volume: 15.27 Å³ per atom
* E_form: 11 kJ per mole of atoms
* energy: -151.10 eV/cell

Structure (CIF):
```
data_MgReOsW
_cell_length_a 6.251
_cell_length_b 6.251
_cell_length_c 6.251
_cell_angle_alpha 90.00
_cell_angle_beta 90.00
_cell_angle_gamma 90.00
_symmetry_space_group_name_H-M 'F -4 3 m'
_symmetry_Int_Tables_number 216
_symmetry_space_group_name_Hall 'F -4 2 3'
loop_
_atom_site_label
_atom_site_fract_x
_atom_site_fract_y
_atom_site_fract_z
Mg1 0.000 0.000 0.000
Re1 0.250 0.250 0.250
Os1 0.250 0.250 0.750
W1 0.000 0.000 0.500
```


Density functional theory data (PBE) for Dy2Al5Pt4 after structural relaxation.

Output
* calculated volume: 18.45 Å³ per atom
* E_form: -98 kJ per mole of atoms
* energy: -253.23 eV/cell

Structure (CIF):
```
data_Dy2Al5Pt4
_cell_length_a 5.404
_cell_length_b 9.281
_cell_length_c 16.187
_cell_angle_alpha 90.00
_cell_angle_beta 90.00
_cell_angle_gamma 90.00
_symmetry_space_group_name_H-M 'F m m m'
_symmetry_Int_Tables_number 69
_symmetry_space_group_name_Hall '-F 2 2'
loop_
_atom_site_label
_atom_site_fract_x
_atom_site_fract_y
_atom_site_fract_z
Dy1 0.000 0.000 0.127
Al1 0.000 0.000 0.500
Al2 0.250 0.250 0.000
Al3 0.250 0.250 0.250
Pt1 0.000 0.159 0.370
```


Density functional theory data (PBE) for Ag4AsPt after structural relaxation.

Output
* calculated volume: 18.57 Å³ per atom
* E_form: 35 kJ per mole of atoms
* energy: -79.64 eV/cell

Structure (CIF):
```
data_Ag4AsPt
_cell_length_a 7.638
_cell_length_b 7.638
_cell_length_c 7.638
_cell_angle_alpha 90.00
_cell_angle_beta 90.00
_cell_angle_gamma 90.00
_symmetry_space_group_name_H-M 'F -4 3 m'
_symmetry_Int_Tables_number 216
_symmetry_space_group_name_Hall 'F -4 2 3'
loop_
_atom_site_label
_atom_site_fract_x
_atom_site_fract_y
_atom_site_fract_z
Ag1 0.125 0.125 0.125
As1 0.250 0.250 0.750
Pt1 0.000 0.000 0.500
```


Density functional theory data (PBE) for Ac6IrPb6 after structural relaxation.

Output
* calculated volume: 37.61 Å³ per atom
* E_form: -30 kJ per mole of atoms
* energy: -59.77 eV/cell

Structure (CIF):
```
data_Ac6IrPb6
_cell_length_a 6.9879
_cell_length_b 6.9879
_cell_length_c 11.5615
_cell_angle_alpha 90.00
_cell_angle_beta 90.00
_cell_angle_gamma 120.00
_symmetry_space_group_name_H-M 'P 6/m m m'
_symmetry_Int_Tables_number 191
_symmetry_space_group_name_Hall '-P 6 2'
loop_
_atom_site_label
_atom_site_fract_x
_atom_site_fract_y
_atom_site_fract_z
Ac1 0.0000 0.0000 0.2346
Ac2 0.3333 0.6667 0.0000
Ac3 0.3333 0.6667 0.5000
Ir1 0.0000 0.0000 0.0000
Pb1 0.0000 0.5000 0.2557
```


Density functional theory data (PBE) for Co2RuPb after structural relaxation.

Output
* calculated volume: 15.34 Å³ per atom
* E_form: 48 kJ per mole of atoms
* energy: -25.19 eV/cell

Structure (CIF):
```
data_Co2RuPb
_cell_length_a 3.085
_cell_length_b 3.085
_cell_length_c 6.450
_cell_angle_alpha 90.00
_cell_angle_beta 90.00
_cell_angle_gamma 90.00
_symmetry_space_group_name_H-M 'P 4 m m'
_symmetry_Int_Tables_number 99
_symmetry_space_group_name_Hall 'P 4 -2'
loop_
_atom_site_label
_atom_site_fract_x
_atom_site_fract_y
_atom_site_fract_z
Co1 0.000 0.000 0.000
Co2 0.500 0.500 0.178
Ru1 0.500 0.500 0.776
Pb1 0.000 0.000 0.476
```


Density functional theory data (PBE) for CaScSeBr2 after structural relaxation.

Output
* calculated volume: 29.06 Å³ per atom
* energy: -21.70 eV/cell

Structure (CIF):
```
data_CaScSeBr2
_cell_length_a 5.233
_cell_length_b 5.233
_cell_length_c 5.307
_cell_angle_alpha 90.00
_cell_angle_beta 90.00
_cell_angle_gamma 90.00
_symmetry_space_group_name_H-M 'P 4/m m m'
_symmetry_Int_Tables_number 123
_symmetry_space_group_name_Hall '-P 4 2'
loop_
_atom_site_label
_atom_site_fract_x
_atom_site_fract_y
_atom_site_fract_z
Ca1 0.000 0.000 0.000
Sc1 0.500 0.500 0.500
Se1 0.500 0.500 0.000
Br1 0.000 0.500 0.500
```